This record from the Alexandria database describes Sr2PrNi9 after structural relaxation. The functional is PBE.

a = 5.1024 Å, b = 5.1024 Å, c = 8.8338 Å
α = 73.21°, β = 73.21°, γ = 60.00°
Site moments in Bohr magnetons follow the coordinates.
Positions (direct):
1 Ni 0.4241 0.9172 0.2345  0.27
2 Ni 0.9172 0.4241 0.2345  0.27
3 Sr 0.8590 0.8590 0.4229  -0.02
4 Ni 0.3321 0.3321 0.0036  0.32
5 Ni 0.4241 0.4241 0.2345  0.27
6 Ni 0.5000 0.5000 0.5000  0.12
7 Ni 0.5759 0.0828 0.7655  0.27
8 Ni 0.5759 0.5759 0.7655  0.27
9 Ni 0.0828 0.5759 0.7655  0.27
10 Pr 0.0000 0.0000 0.0000  -0.05
11 Ni 0.6679 0.6679 0.9964  0.32
12 Sr 0.1410 0.1410 0.5771  -0.02

Values from the calculation:
Size of the total moment   0.16 μB per atom
Formation energy from the elements   -11.0 kJ/mol of atoms